a:
{
  "formula": "PmY2Os",
  "functional": "PBE",
  "state": "optimized geometry",
  "lattice_angstrom": [[3.9681, -0.0005, 0.0000], [-1.9842, 6.1109, 0.0000], [0.0000, 0.0000, 9.1574]],
  "species": ["Y", "Y", "Y", "Pm", "Os", "Pm", "Os", "Y"],
  "frac_coords": [[0.6464, 0.2926, 0.4321], [0.3536, 0.7074, 0.5679], [0.3536, 0.7074, 0.9321], [0.9240, 0.8481, 0.2500], [0.7429, 0.4860, 0.7500], [0.0760, 0.1519, 0.7500], [0.2571, 0.5140, 0.2500], [0.6464, 0.2926, 0.0679]],
  "dos_ef_per_ev_fu": 4.11,
  "sg": "Cmcm, No. 63",
  "crystal_system": "orthorhombic"
}

b:
{
  "formula": "PmY2Os",
  "functional": "PBE",
  "state": "optimized geometry",
  "lattice_angstrom": [[6.4503, 0.0000, 0.0000], [0.0000, 7.4512, 0.0000], [0.0000, 0.0000, 9.1720]],
  "species": ["Y", "Y", "Os", "Pm", "Pm", "Os", "Y", "Os", "Os", "Pm", "Y", "Y", "Y", "Y", "Y", "Pm"],
  "frac_coords": [[0.8336, 0.3262, 0.5645], [0.3336, 0.1738, 0.0645], [0.0430, 0.3835, 0.2500], [0.8698, 0.0413, 0.2500], [0.6302, 0.5413, 0.2500], [0.9570, 0.6165, 0.7500], [0.6664, 0.8262, 0.9355], [0.4570, 0.8835, 0.2500], [0.5430, 0.1165, 0.7500], [0.1302, 0.9587, 0.7500], [0.1664, 0.6738, 0.0645], [0.3336, 0.1738, 0.4355], [0.1664, 0.6738, 0.4355], [0.8336, 0.3262, 0.9355], [0.6664, 0.8262, 0.5645], [0.3698, 0.4587, 0.7500]],
  "dos_ef_per_ev_fu": 3.56,
  "sg": "Pnma, No. 62",
  "crystal_system": "orthorhombic"
}

Least stable structure: a

a:
{
  "formula": "Pm2YOs",
  "functional": "PBE",
  "state": "optimized geometry",
  "lattice_angstrom": [[-2.2465, 2.6527, -2.1560], [-2.6453, -0.7527, 5.7153], [5.0590, 6.9291, 3.2540]],
  "species": ["Pm", "Pm", "Y", "Pm", "Os", "Os", "Pm", "Y"],
  "frac_coords": [[0.3571, 0.7142, 0.9333], [0.6429, 0.2858, 0.4333], [0.9226, 0.8454, 0.2500], [0.3571, 0.7142, 0.5667], [0.2596, 0.5197, 0.2500], [0.7404, 0.4803, 0.7500], [0.6429, 0.2858, 0.0667], [0.0774, 0.1546, 0.7500]],
  "dos_ef_per_ev_fu": 2.90,
  "sg": "Cmcm, No. 63",
  "crystal_system": "orthorhombic"
}

b:
{
  "formula": "Pm2YOs",
  "functional": "PBE",
  "state": "optimized geometry",
  "lattice_angstrom": [[6.4233, 0.0000, 0.0000], [0.0000, 7.4803, 0.0000], [0.0000, 0.0000, 9.3992]],
  "species": ["Pm", "Y", "Pm", "Os", "Y", "Y", "Os", "Pm", "Pm", "Os", "Pm", "Pm", "Os", "Y", "Pm", "Pm"],
  "frac_coords": [[0.6692, 0.8247, 0.5639], [0.6365, 0.5416, 0.2500], [0.1692, 0.6753, 0.0639], [0.4593, 0.8841, 0.2500], [0.1365, 0.9584, 0.7500], [0.8635, 0.0416, 0.2500], [0.5407, 0.1159, 0.7500], [0.3308, 0.1753, 0.0639], [0.8308, 0.3247, 0.9361], [0.9593, 0.6159, 0.7500], [0.1692, 0.6753, 0.4361], [0.3308, 0.1753, 0.4361], [0.0407, 0.3841, 0.2500], [0.3635, 0.4584, 0.7500], [0.8308, 0.3247, 0.5639], [0.6692, 0.8247, 0.9361]],
  "dos_ef_per_ev_fu": 3.45,
  "sg": "Pnma, No. 62",
  "crystal_system": "orthorhombic"
}

Least stable structure: a

a:
{
  "formula": "Pm2YOs",
  "functional": "PBE",
  "state": "optimized geometry",
  "lattice_angstrom": [[3.5693, 0.0000, 0.0000], [1.7846, 3.0911, 0.0000], [1.7846, 1.0304, 10.9035]],
  "species": ["Os", "Y", "Pm", "Pm"],
  "frac_coords": [[0.5000, 0.5000, 0.5000], [0.0000, 0.0000, 0.0000], [0.1061, 0.1061, 0.6817], [0.8939, 0.8939, 0.3183]],
  "dos_ef_per_ev_fu": 6.16,
  "sg": "R-3m, No. 166",
  "crystal_system": "trigonal"
}

b:
{
  "formula": "Pm2YOs",
  "functional": "PBE",
  "state": "optimized geometry",
  "lattice_angstrom": [[3.4599, 0.0000, 0.0000], [0.0000, 3.4599, 0.0000], [0.0000, 0.0000, 9.6459]],
  "species": ["Y", "Pm", "Os", "Pm"],
  "frac_coords": [[0.5000, 0.5000, 0.5000], [0.0000, 0.0000, 0.1787], [0.5000, 0.5000, 0.0000], [0.0000, 0.0000, 0.8213]],
  "dos_ef_per_ev_fu": 4.58,
  "sg": "P4/mmm, No. 123",
  "crystal_system": "tetragonal"
}

Least stable structure: a

a:
{
  "formula": "Pm4ZnOs",
  "functional": "PBE",
  "state": "optimized geometry",
  "lattice_angstrom": [[8.4507, 0.0000, 4.8790], [2.8169, 7.9674, 4.8790], [0.0000, 0.0000, 9.7581]],
  "species": ["Pm", "Pm", "Pm", "Pm", "Pm", "Pm", "Pm", "Zn", "Zn", "Pm", "Zn", "Pm", "Pm", "Pm", "Pm", "Pm", "Os", "Os", "Pm", "Os", "Zn", "Os", "Pm", "Pm"],
  "frac_coords": [[0.8098, 0.8098, 0.1902], [0.8098, 0.1902, 0.8098], [0.5563, 0.5563, 0.9437], [0.9437, 0.5563, 0.5563], [0.8098, 0.1902, 0.1902], [0.1902, 0.8098, 0.1902], [0.9437, 0.5563, 0.9437], [0.1739, 0.1739, 0.1739], [0.1739, 0.4783, 0.1739], [0.4015, 0.4015, 0.7955], [0.4783, 0.1739, 0.1739], [0.9437, 0.9437, 0.5563], [0.5563, 0.9437, 0.5563], [0.4015, 0.7955, 0.4015], [0.1902, 0.1902, 0.8098], [0.1902, 0.8098, 0.8098], [0.1648, 0.6117, 0.6117], [0.6117, 0.6117, 0.1648], [0.4015, 0.4015, 0.4015], [0.6117, 0.1648, 0.6117], [0.1739, 0.1739, 0.4783], [0.6117, 0.6117, 0.6117], [0.5563, 0.9437, 0.9437], [0.7955, 0.4015, 0.4015]],
  "dos_ef_per_ev_fu": 6.34,
  "sg": "F-43m, No. 216",
  "crystal_system": "cubic"
}

b:
{
  "formula": "Pm4ZnOs",
  "functional": "PBE",
  "state": "optimized geometry",
  "lattice_angstrom": [[-5.7441, -1.6307, 1.8084], [2.0321, -5.1969, -6.2281], [4.5093, -0.8984, 6.6761]],
  "species": ["Os", "Pm", "Pm", "Pm", "Pm", "Zn", "Zn", "Pm", "Pm", "Pm", "Os", "Pm"],
  "frac_coords": [[0.7498, 0.9999, 0.9998], [0.3629, 0.9385, 0.6469], [0.0431, 0.2152, 0.8590], [0.7824, 0.7092, 0.6471], [0.9569, 0.7848, 0.1410], [0.3740, 0.6246, 0.2487], [0.6260, 0.3754, 0.7513], [0.2176, 0.2908, 0.3529], [0.6371, 0.0615, 0.3531], [0.3145, 0.6436, 0.8581], [0.2502, 0.0001, 0.0002], [0.6855, 0.3564, 0.1419]],
  "dos_ef_per_ev_fu": 6.63,
  "sg": "P-1, No. 2",
  "crystal_system": "triclinic"
}

Least stable structure: b

a:
{
  "formula": "Pr2Os3",
  "functional": "PBE",
  "state": "optimized geometry",
  "lattice_angstrom": [[-2.8243, -0.2548, -3.3844], [3.4486, -2.9235, -2.6578], [-2.2193, -2.3791, 4.9114]],
  "species": ["Pr", "Os", "Pr", "Os", "Os"],
  "frac_coords": [[0.1937, 0.6937, 0.3874], [0.5000, 0.2665, 0.0000], [0.8063, 0.3063, 0.6126], [0.0000, 0.0000, 0.0000], [0.5000, 0.7335, 0.0000]],
  "dos_ef_per_ev_fu": 3.40,
  "sg": "Immm, No. 71",
  "crystal_system": "orthorhombic"
}

b:
{
  "formula": "Pr2Os3",
  "functional": "PBE",
  "state": "optimized geometry",
  "lattice_angstrom": [[1.8192, 0.4339, 2.8177], [2.3751, -2.0612, -1.2439], [6.4560, 6.5599, -3.1463]],
  "species": ["Pr", "Os", "Pr", "Os", "Os"],
  "frac_coords": [[0.5972, 0.5972, 0.8040], [0.7734, 0.7734, 0.4542], [0.4028, 0.4028, 0.1960], [0.0000, 0.0000, 0.0000], [0.2266, 0.2266, 0.5458]],
  "dos_ef_per_ev_fu": 2.84,
  "sg": "C2/m, No. 12",
  "crystal_system": "monoclinic"
}

Least stable structure: b

a:
{
  "formula": "Pr4OsRh",
  "functional": "PBE",
  "state": "optimized geometry",
  "lattice_angstrom": [[-1.7310, -6.6338, -1.6735], [2.9356, -2.4684, 5.9240], [-6.7469, 5.3088, 1.2336]],
  "species": ["Pr", "Os", "Pr", "Pr", "Rh", "Pr", "Pr", "Pr", "Rh", "Pr", "Os", "Pr"],
  "frac_coords": [[0.9918, 0.7469, 0.0004], [0.3750, 0.6250, 0.2500], [0.7464, 0.9916, 0.4993], [0.4915, 0.7466, 0.9996], [0.8751, 0.1251, 0.2501], [0.5085, 0.2534, 0.0004], [0.2528, 0.5077, 0.4993], [0.0082, 0.2531, 0.9996], [0.1249, 0.8749, 0.7499], [0.7472, 0.4923, 0.5007], [0.6250, 0.3750, 0.7500], [0.2536, 0.0084, 0.5007]],
  "dos_ef_per_ev_fu": 3.22,
  "sg": "Fddd, No. 70",
  "crystal_system": "orthorhombic"
}

b:
{
  "formula": "Pr4OsRh",
  "functional": "PBE",
  "state": "optimized geometry",
  "lattice_angstrom": [[6.1073, 0.1227, -2.1241], [-2.6470, 6.6124, -3.1663], [0.1444, 0.0586, 8.2331]],
  "species": ["Rh", "Pr", "Os", "Os", "Pr", "Pr", "Pr", "Rh", "Pr", "Pr", "Pr", "Pr"],
  "frac_coords": [[0.6123, 0.3623, 0.7247], [0.2054, 0.3054, 0.3489], [0.2527, 0.0027, 0.0054], [0.7473, 0.9973, 0.9946], [0.6364, 0.3698, 0.1336], [0.3636, 0.6302, 0.8664], [0.7946, 0.6946, 0.6511], [0.3877, 0.6377, 0.2753], [0.6435, 0.0435, 0.3489], [0.9972, 0.7637, 0.1336], [0.0028, 0.2363, 0.8664], [0.3565, 0.9565, 0.6511]],
  "dos_ef_per_ev_fu": 5.14,
  "sg": "C2/c, No. 15",
  "crystal_system": "monoclinic"
}

Least stable structure: a

a:
{
  "formula": "PrScOs",
  "functional": "PBE",
  "state": "optimized geometry",
  "lattice_angstrom": [[-2.4712, -1.0702, -1.9912], [0.2034, -3.0434, 1.3833], [-3.2167, 3.7954, 4.7687]],
  "species": ["Os", "Pr", "Sc"],
  "frac_coords": [[0.6788, 0.6788, 0.3576], [0.0329, 0.0329, 0.0659], [0.2883, 0.2883, 0.5765]],
  "dos_ef_per_ev_fu": 1.67,
  "sg": "I4mm, No. 107",
  "crystal_system": "tetragonal"
}

b:
{
  "formula": "PrScOs",
  "functional": "PBE",
  "state": "optimized geometry",
  "lattice_angstrom": [[-3.4113, 1.6905, -5.5499], [-5.6856, -1.4026, 3.0674], [0.7054, 5.9495, 4.0280]],
  "species": ["Os", "Sc", "Os", "Os", "Pr", "Pr", "Pr", "Pr", "Sc", "Sc", "Sc", "Os"],
  "frac_coords": [[0.9895, 0.9598, 0.2965], [0.7974, 0.6490, 0.0981], [0.4895, 0.5402, 0.7965], [0.5105, 0.4598, 0.2035], [0.2789, 0.8522, 0.0789], [0.2211, 0.3522, 0.4211], [0.7789, 0.6478, 0.5789], [0.7211, 0.1478, 0.9211], [0.2974, 0.8510, 0.5981], [0.7026, 0.1490, 0.4019], [0.2026, 0.3510, 0.9019], [0.0105, 0.0402, 0.7035]],
  "dos_ef_per_ev_fu": 1.81,
  "sg": "P2_1/c, No. 14",
  "crystal_system": "monoclinic"
}

Least stable structure: b

a:
{
  "formula": "Pr2SmOs",
  "functional": "PBE",
  "state": "optimized geometry",
  "lattice_angstrom": [[-2.4258, -0.6561, 2.6806], [1.1759, -0.7282, 3.4041], [-0.6823, 10.3113, 4.4245]],
  "species": ["Os", "Pr", "Sm", "Pr"],
  "frac_coords": [[0.5000, 0.5000, 0.5000], [0.8921, 0.8921, 0.3237], [0.0000, 0.0000, 0.0000], [0.1079, 0.1079, 0.6763]],
  "dos_ef_per_ev_fu": 5.88,
  "sg": "R-3m, No. 166",
  "crystal_system": "trigonal"
}

b:
{
  "formula": "Pr2SmOs",
  "functional": "PBE",
  "state": "optimized geometry",
  "lattice_angstrom": [[6.5352, 0.0000, 0.0000], [0.0000, 7.4904, 0.0000], [0.0000, 0.0000, 9.7148]],
  "species": ["Os", "Os", "Pr", "Sm", "Sm", "Pr", "Pr", "Pr", "Pr", "Sm", "Pr", "Pr", "Os", "Os", "Sm", "Pr"],
  "frac_coords": [[0.0448, 0.3853, 0.2500], [0.5448, 0.1147, 0.7500], [0.1711, 0.6750, 0.4341], [0.6437, 0.5438, 0.2500], [0.3563, 0.4562, 0.7500], [0.3289, 0.1750, 0.4341], [0.8289, 0.3250, 0.5659], [0.1711, 0.6750, 0.0659], [0.6711, 0.8250, 0.9341], [0.8563, 0.0438, 0.2500], [0.6711, 0.8250, 0.5659], [0.8289, 0.3250, 0.9341], [0.9552, 0.6147, 0.7500], [0.4552, 0.8853, 0.2500], [0.1437, 0.9562, 0.7500], [0.3289, 0.1750, 0.0659]],
  "dos_ef_per_ev_fu": 3.89,
  "sg": "Pnma, No. 62",
  "crystal_system": "orthorhombic"
}

Least stable structure: a

a:
{
  "formula": "Pr3SmOs",
  "functional": "PBE",
  "state": "optimized geometry",
  "lattice_angstrom": [[-6.3852, 1.4456, 1.9485], [-0.2945, -2.1356, 6.7575], [0.2371, 6.8475, 1.8349]],
  "species": ["Pr", "Pr", "Os", "Pr", "Pr", "Os", "Pr", "Pr", "Sm", "Sm"],
  "frac_coords": [[0.2382, 0.5657, 0.0653], [0.2291, 0.5695, 0.5695], [0.5051, 0.7509, 0.7509], [0.7618, 0.4343, 0.9347], [0.7709, 0.4305, 0.4305], [0.4949, 0.2491, 0.2491], [0.2382, 0.0653, 0.5657], [0.7618, 0.9347, 0.4343], [0.2365, 0.0645, 0.0645], [0.7635, 0.9355, 0.9355]],
  "dos_ef_per_ev_fu": 4.71,
  "sg": "C2/m, No. 12",
  "crystal_system": "monoclinic"
}

b:
{
  "formula": "Pr3SmOs",
  "functional": "PBE",
  "state": "optimized geometry",
  "lattice_angstrom": [[-0.2241, -3.4504, 4.4747], [4.6661, -2.6386, -1.8009], [3.1867, 3.6209, 2.9517]],
  "species": ["Pr", "Sm", "Os", "Pr", "Pr"],
  "frac_coords": [[0.0000, 0.5000, 0.0000], [0.5000, 0.5000, 0.5000], [0.0000, 0.0000, 0.0000], [0.5000, 0.0000, 0.0000], [0.0000, 0.0000, 0.5000]],
  "dos_ef_per_ev_fu": 7.34,
  "sg": "Pm-3m, No. 221",
  "crystal_system": "cubic"
}

Least stable structure: b

a:
{
  "formula": "Tb2PrOs",
  "functional": "PBE",
  "state": "optimized geometry",
  "lattice_angstrom": [[3.9994, -0.0002, 0.0000], [-1.9991, 6.1607, 0.0000], [0.0000, 0.0000, 9.1457]],
  "species": ["Os", "Tb", "Tb", "Pr", "Pr", "Os", "Tb", "Tb"],
  "frac_coords": [[0.7452, 0.4901, 0.7500], [0.3522, 0.7045, 0.9315], [0.6478, 0.2955, 0.4315], [0.0740, 0.1477, 0.7500], [0.9260, 0.8523, 0.2500], [0.2548, 0.5099, 0.2500], [0.3522, 0.7045, 0.5685], [0.6478, 0.2955, 0.0685]],
  "dos_ef_per_ev_fu": 4.22,
  "sg": "Cmcm, No. 63",
  "crystal_system": "orthorhombic"
}

b:
{
  "formula": "Tb2PrOs",
  "functional": "PBE",
  "state": "optimized geometry",
  "lattice_angstrom": [[3.4391, 0.0000, 0.0000], [0.0000, 3.4391, 0.0000], [0.0000, 0.0000, 9.4243]],
  "species": ["Os", "Pr", "Tb", "Tb"],
  "frac_coords": [[0.5000, 0.5000, 0.0000], [0.5000, 0.5000, 0.5000], [0.0000, 0.0000, 0.1760], [0.0000, 0.0000, 0.8240]],
  "dos_ef_per_ev_fu": 2.74,
  "sg": "P4/mmm, No. 123",
  "crystal_system": "tetragonal"
}

Least stable structure: b

a:
{
  "formula": "Tb2PrOs",
  "functional": "PBE",
  "state": "optimized geometry",
  "lattice_angstrom": [[6.4739, 0.0000, 0.0000], [0.0000, 7.4804, 0.0000], [0.0000, 0.0000, 9.2426]],
  "species": ["Tb", "Tb", "Tb", "Tb", "Tb", "Pr", "Pr", "Tb", "Tb", "Os", "Pr", "Os", "Os", "Tb", "Pr", "Os"],
  "frac_coords": [[0.3343, 0.1743, 0.4346], [0.8343, 0.3257, 0.5654], [0.6657, 0.8257, 0.9346], [0.1657, 0.6743, 0.0654], [0.8343, 0.3257, 0.9346], [0.3687, 0.4597, 0.7500], [0.1313, 0.9597, 0.7500], [0.3343, 0.1743, 0.0654], [0.6657, 0.8257, 0.5654], [0.5539, 0.1149, 0.7500], [0.6313, 0.5403, 0.2500], [0.4461, 0.8851, 0.2500], [0.0539, 0.3851, 0.2500], [0.1657, 0.6743, 0.4346], [0.8687, 0.0403, 0.2500], [0.9461, 0.6149, 0.7500]],
  "dos_ef_per_ev_fu": 3.52,
  "sg": "Pnma, No. 62",
  "crystal_system": "orthorhombic"
}

b:
{
  "formula": "Tb2PrOs",
  "functional": "PBE",
  "state": "optimized geometry",
  "lattice_angstrom": [[-0.9386, -1.1625, 3.2317], [1.7345, -2.7335, 1.4817], [7.3615, 5.6823, 6.1432]],
  "species": ["Os", "Tb", "Pr", "Tb"],
  "frac_coords": [[0.5000, 0.5000, 0.5000], [0.1087, 0.1087, 0.6738], [0.0000, 0.0000, 0.0000], [0.8913, 0.8913, 0.3262]],
  "dos_ef_per_ev_fu": 5.46,
  "sg": "R-3m, No. 166",
  "crystal_system": "trigonal"
}

Least stable structure: b